Fe5Br: optimized geometry, GGA-PBE.

abc: 4.897 4.897 4.897
angles: 60.00 60.00 60.00
Site moments in Bohr magnetons follow the coordinates.
Positions (direct):
Fe  0.250  0.250  0.250  2.85
Fe  0.624  0.624  0.624  2.52
Fe  0.624  0.624  0.128  2.52
Fe  0.128  0.624  0.624  2.52
Fe  0.624  0.128  0.624  2.52
Br  0.000  0.000  0.000  0.10

Calculated values
energy: -40.21 eV for the cell shown
magnetization: 12.89 μB/cell
crystal system: cubic
E_form (uncorrected): 0.6288 eV per atom